The following is a DFT calculation (GGA-PBE) of a relaxed structure of TbPmPaPb.

```
TbPmPaPb
1.0
-1.8843 -2.4239 -4.4963
-3.5008 -4.1498 0.4079
-5.1973 0.6676 -1.4781
Pm Pb Pa Tb
1 1 1 1
Cartesian
-2.6456 -1.4765 -1.3916
-5.2912 -2.9531 -2.7833
0.0000 0.0000 0.0000
-7.9368 -4.4296 -4.1749
```

## Properties
DOS(E_F) (states/eV/f.u.): 7.988
Total magnetization (μB/atom): 0.344

The following is a DFT calculation (GGA-PBE) of a relaxed structure of PmPaZnPb.

```
PmPaZnPb
1.0
5.3160 0.0000 0.0000
2.6580 4.6038 0.0000
2.6580 1.5346 4.3405
Pb Pa Pm Zn
1 1 1 1
Cartesian
0.0000 0.0000 0.0000
7.9739 4.6038 3.2553
2.6580 1.5346 1.0851
5.3160 3.0692 2.1702
```

## Properties
DOS(E_F) (states/eV/f.u.): 9.076
Total magnetization (μB/atom): 0.414

no.,VASP energy (eV per atom),formation energy (kcal/mol of atoms)
1,-5.495,3.5
2,-4.803,0.1